# Li3TbPu2Se6 | Alexandria via LeMat-Bulk | PBE | relaxed
# Space group: C2/m (12)
# Total DFT energy (no corrections) in Ry/atom: -0.47661
data_Li3TbPu2Se6
_chemical_formula_sum 'Li3 Tb1 Pu2 Se6'
_cell_length_a 7.128
_cell_length_b 7.128
_cell_length_c 6.881
_cell_angle_alpha 99.94
_cell_angle_beta 99.94
_cell_angle_gamma 119.99
_space_group_name_H-M_alt 'P 1'
_space_group_IT_number 1
loop_
_space_group_symop_operation_xyz
'x,y,z'
loop_
_atom_site_label
_atom_site_fract_x
_atom_site_fract_y
_atom_site_fract_z
Se1 0.915 0.583 0.745
Se2 0.583 0.915 0.745
Se3 0.753 0.753 0.255
Se4 0.085 0.417 0.255
Se5 0.417 0.085 0.255
Se6 0.247 0.247 0.745
Li1 0.834 0.166 0.500
Li2 0.166 0.834 0.500
Li3 0.500 0.500 0.500
Tb1 0.000 0.000 0.000
Pu1 0.333 0.667 0.000
Pu2 0.667 0.333 0.000